Entry 1:
# GGA-PBE Sm2NpSe4, optimized geometry
data_Sm2NpSe4
_cell_length_a 4.074
_cell_length_b 13.745
_cell_length_c 13.903
_cell_angle_alpha 90.00
_cell_angle_beta 90.00
_cell_angle_gamma 90.00
_symmetry_space_group_name_H-M 'C m c m'
_symmetry_Int_Tables_number 63
_symmetry_space_group_name_Hall '-C 2c 2'
loop_
_atom_site_label
_atom_site_type_symbol
_atom_site_fract_x
_atom_site_fract_y
_atom_site_fract_z
Sm1 Sm 0.000 0.133 0.068
Np1 Np 0.000 0.378 0.250
Se1 Se 0.000 0.031 0.250
Se2 Se 0.000 0.225 0.625
Se3 Se 0.000 0.500 0.000
# Formation energy (no corrections) in meV per atom: -1590

Entry 2:
# GGA-PBE Sm2Np3Se8, optimized geometry
data_Sm2Np3Se8
_cell_length_a 14.629
_cell_length_b 8.258
_cell_length_c 7.120
_cell_angle_alpha 90.00
_cell_angle_beta 109.09
_cell_angle_gamma 90.00
_symmetry_space_group_name_H-M 'C 1 2/m 1'
_symmetry_Int_Tables_number 12
loop_
_symmetry_equiv_pos_as_xyz
'x,y,z'
'-x,-y,-z'
'-x,y,-z'
'x,-y,z'
'x+1/2,y+1/2,z'
'-x+1/2,-y+1/2,-z'
'-x+1/2,y+1/2,-z'
'x+1/2,-y+1/2,z'
loop_
_atom_site_label
_atom_site_type_symbol
_atom_site_fract_x
_atom_site_fract_y
_atom_site_fract_z
Sm1 Sm 0.239 0.000 0.164
Np1 Np 0.000 0.243 0.500
Np2 Np 0.000 0.500 0.000
Se1 Se 0.112 0.000 0.402
Se2 Se 0.117 0.500 0.422
Se3 Se 0.124 0.262 0.907
# Formation energy (no corrections) in meV per atom: -1323

Entry 3:
# GGA-PBE Sm3NpSe6, optimized geometry
data_Sm3NpSe6
_cell_length_a 11.763
_cell_length_b 4.178
_cell_length_c 12.018
_cell_angle_alpha 90.00
_cell_angle_beta 108.78
_cell_angle_gamma 90.00
_symmetry_space_group_name_H-M 'P 1 21/m 1'
_symmetry_Int_Tables_number 11
loop_
_symmetry_equiv_pos_as_xyz
'x,y,z'
'-x,-y,-z'
'-x,y+1/2,-z'
'x,-y+1/2,z'
loop_
_atom_site_label
_atom_site_type_symbol
_atom_site_fract_x
_atom_site_fract_y
_atom_site_fract_z
Sm1 Sm 0.071 0.250 0.168
Sm2 Sm 0.181 0.750 0.503
Sm3 Sm 0.342 0.250 0.919
Np1 Np 0.455 0.250 0.310
Se1 Se 0.019 0.250 0.384
Se2 Se 0.101 0.250 0.934
Se3 Se 0.251 0.750 0.279
Se4 Se 0.311 0.750 0.750
Se5 Se 0.389 0.250 0.539
Se6 Se 0.417 0.750 0.103
# Formation energy (no corrections) in meV per atom: -1675
# Distance to the lowest polymorph of the same formula in eV/f.u.: 0.00

Entry 4:
# GGA-PBE SmNp2Se4, optimized geometry
data_SmNp2Se4
_cell_length_a 8.277
_cell_length_b 8.283
_cell_length_c 11.641
_cell_angle_alpha 90.00
_cell_angle_beta 90.00
_cell_angle_gamma 90.00
_symmetry_space_group_name_H-M 'I m m a'
_symmetry_Int_Tables_number 74
_symmetry_space_group_name_Hall '-I 2b 2'
loop_
_atom_site_label
_atom_site_type_symbol
_atom_site_fract_x
_atom_site_fract_y
_atom_site_fract_z
Sm1 Sm 0.250 0.250 0.250
Np1 Np 0.000 0.000 0.000
Np2 Np 0.250 0.250 0.750
Se1 Se 0.000 0.003 0.746
Se2 Se 0.243 0.250 0.999
# Formation energy (no corrections) in meV per atom: -1325
# Distance to the lowest polymorph of the same formula in eV/f.u.: 0.14